DFT (meta-GGA SCAN) results for a crystal of TlRe2Pb relaxed with PBEsol.

Results
Space-group type   No. 44
Total magnetic moment   0.00 μB per atom
Density   15.4 g/cm³
Formation energy from the elements   0.991 eV/atom

Cell: 3.108 4.730 6.410 Å, 111.65 104.03 90.00°
Fractional positions:
Pb: 0.282 0.782 0.563
Re: 0.034 0.034 0.068
Re: 0.693 0.193 0.385
Tl: 0.492 0.492 0.983